No. 1
The following is a DFT calculation (PBE) of a geometry-optimized Li2Ca2In structure.

Output
total magnetic moment = 0.0 μB/f.u.
calculated total energy = -2.0704 eV per atom
DOS(E_F) = 1.0355 states/eV per atom
space-group type = P4/mbm
energy above the most stable polymorph in this dataset = 6.25 kcal/mol of atoms

Cell lengths 8.7251, 8.7251, 3.9900 Å; angles 90.00, 90.00, 90.00 degrees
With the nearest neighbours (Å) after each atom.
Fractional coordinates of all 10 atoms:
In1 0.0000 0.0000 0.0000  4 Ca 3.31
In2 0.5000 0.5000 0.0000  4 Ca 3.31
Ca1 0.8473 0.6527 0.0000  6 Li 3.22-3.26, 2 In 3.31
Ca2 0.6527 0.1527 0.0000  6 Li 3.22-3.26, 2 In 3.31
Ca3 0.1527 0.3473 0.0000  6 Li 3.22-3.26, 2 In 3.31
Ca4 0.3473 0.8473 0.0000  6 Li 3.22-3.26, 2 In 3.31
Li1 0.1426 0.6426 0.5000  6 Ca 3.22-3.26, 1 Li 3.52
Li2 0.6426 0.8574 0.5000  6 Ca 3.22-3.26, 1 Li 3.52
Li3 0.3574 0.1426 0.5000  6 Ca 3.22-3.26, 1 Li 3.52
Li4 0.8574 0.3574 0.5000  6 Ca 3.22-3.26, 1 Li 3.52

---

No. 2
The following is a DFT calculation (PBE) of a geometry-optimized AcPrSeO6 structure.

Output
total magnetic moment = 0.0 μB/f.u.
calculated total energy = -6.7597 eV per atom
DOS(E_F) = 0.0000 states/eV per atom
space-group type = P312

Cell lengths 5.6508, 5.6514, 5.1307 Å; angles 90.01, 90.01, 60.00 degrees
With the nearest neighbours (Å) after each atom.
Fractional coordinates of all 9 atoms:
O1 0.0686 0.6041 0.7079  1 Se 1.85
O2 0.6040 0.0685 0.2921  1 Se 1.85
O3 0.0685 0.3273 0.2921  1 Se 1.85
O4 0.3274 0.0686 0.7080  1 Se 1.85
O5 0.6041 0.3274 0.7079  1 Se 1.85
O6 0.3274 0.6040 0.2920  1 Se 1.85
Ac1 0.9999 0.0000 0.0000  6 O 2.56
Pr1 0.6666 0.6667 0.5000  6 O 2.37
Se1 0.3333 0.3333 0.5000  6 O 1.85

---

No. 3
The following is a DFT calculation (PBE) of a geometry-optimized ZrInSbTe2 structure.

Output
total magnetic moment = 0.0 μB/f.u.
calculated total energy = -4.4771 eV per atom
DOS(E_F) = 0.8241 states/eV per atom
space-group type = P4/mmm
energy above the most stable polymorph in this dataset = 0.00 kcal/mol of atoms

Cell lengths 5.6359, 5.6359, 5.6378 Å; angles 90.00, 90.00, 90.00 degrees
With the nearest neighbours (Å) after each atom.
Fractional coordinates of all 5 atoms:
Sb1 0.0000 0.0000 0.5000  2 Zr 2.82
Zr1 0.0000 0.0000 0.0000  4 Te 2.82, 2 Sb 2.82
Te1 0.5000 0.0000 0.0000  2 Zr 2.82
Te2 0.0000 0.5000 0.0000  2 Zr 2.82
In1 0.5000 0.5000 0.5000  4 Sb 3.99, 8 Te 3.99